(1)
The following is a DFT calculation (PBE) of a relaxed Cs2Sm2Bi2Se crystal.

The structure in CIF format:
```
data_Cs2Sm2Bi2Se
_chemical_formula_sum 'Cs2 Sm2 Bi2 Se1'
_space_group_name_H-M_alt 'P 1'
_space_group_IT_number 1
_space_group_name_Hall 'P 1'
_cell_length_a 5.574
_cell_length_b 5.574
_cell_length_c 10.653
_cell_angle_alpha 105.16
_cell_angle_beta 105.16
_cell_angle_gamma 90.00
loop_
_atom_site_label
_atom_site_fract_x
_atom_site_fract_y
_atom_site_fract_z
Cs1 0.183 0.183 0.366
Cs2 0.817 0.817 0.634
Sm1 0.000 0.500 0.000
Sm2 0.500 0.000 0.000
Bi1 0.396 0.396 0.793
Bi2 0.604 0.604 0.207
Se1 0.000 0.000 0.000
```

Calculated values
- symmetry = I4/mmm
- E_form (uncorrected) (eV per atom) = -0.934
- density of states at the Fermi level (states/eV per atom) = 0.528


(2)
The following is a DFT calculation (PBE) of a relaxed Mg3PdSe crystal.

The structure in CIF format:
```
data_Mg3PdSe
_chemical_formula_sum 'Mg3 Pd1 Se1'
_space_group_name_H-M_alt 'P 1'
_space_group_IT_number 1
_space_group_name_Hall 'P 1'
_cell_length_a 4.917
_cell_length_b 4.917
_cell_length_c 4.917
_cell_angle_alpha 90.00
_cell_angle_beta 90.00
_cell_angle_gamma 90.00
loop_
_atom_site_label
_atom_site_fract_x
_atom_site_fract_y
_atom_site_fract_z
Mg1 0.000 0.500 0.000
Mg2 0.000 0.000 0.500
Mg3 0.500 0.000 0.000
Se1 0.000 0.000 0.000
Pd1 0.500 0.500 0.500
```

Calculated values
- energy above the lowest structure with this stoichiometry (eV per atom) = 0.249
- symmetry = Pm-3m
- E_form (uncorrected) (eV per atom) = 0.012
- density of states at the Fermi level (states/eV per atom) = 0.311